Density functional theory data (GGA-PBE) for a relaxed structure of ThGa5Ni2Pt.

Computed properties:
- formation energy (eV/f.u.) = -2.65
- space-group type = P4/mmm (123)

```
data_ThGa5Ni2Pt
_chemical_formula_sum 'Th1 Ga5 Ni2 Pt1'
_cell_length_a 4.2634
_cell_length_b 4.2634
_cell_length_c 9.4644
_cell_angle_alpha 90.00
_cell_angle_beta 90.00
_cell_angle_gamma 90.00
_symmetry_space_group_name_H-M 'P 1'
_symmetry_Int_Tables_number 1
_symmetry_space_group_name_Hall 'P 1'
loop_
_atom_site_label
_atom_site_fract_x
_atom_site_fract_y
_atom_site_fract_z
Th1 0.0000 0.0000 0.0000
Ga1 0.0000 0.5000 0.3371
Ga2 0.0000 0.5000 0.6629
Ga3 0.5000 0.0000 0.3371
Ga4 0.5000 0.0000 0.6629
Ga5 0.5000 0.5000 0.0000
Ni1 0.5000 0.5000 0.2316
Ni2 0.5000 0.5000 0.7684
Pt1 0.0000 0.0000 0.5000
```

---

Density functional theory data (GGA-PBE) for a relaxed structure of Hf2Ta2V15.

Computed properties:
- formation energy (eV/f.u.) = 1.97
- space-group type = R-3m (166)

```
data_Hf2Ta2V15
_chemical_formula_sum 'Hf2 Ta2 V15'
_cell_length_a 6.6556
_cell_length_b 6.6556
_cell_length_c 6.6556
_cell_angle_alpha 84.73
_cell_angle_beta 84.73
_cell_angle_gamma 84.73
_symmetry_space_group_name_H-M 'P 1'
_symmetry_Int_Tables_number 1
_symmetry_space_group_name_Hall 'P 1'
loop_
_atom_site_label
_atom_site_fract_x
_atom_site_fract_y
_atom_site_fract_z
Hf1 0.1604 0.1604 0.1604
Hf2 0.8396 0.8396 0.8396
Ta1 0.3952 0.3952 0.3952
Ta2 0.6048 0.6048 0.6048
V1 0.0000 0.5000 0.5000
V2 0.1414 0.1414 0.6614
V3 0.1414 0.6614 0.1414
V4 0.1943 0.5000 0.8057
V5 0.1943 0.8057 0.5000
V6 0.3386 0.8586 0.8586
V7 0.5000 0.0000 0.5000
V8 0.5000 0.1943 0.8057
V9 0.5000 0.5000 0.0000
V10 0.5000 0.8057 0.1943
V11 0.6614 0.1414 0.1414
V12 0.8057 0.1943 0.5000
V13 0.8057 0.5000 0.1943
V14 0.8586 0.3386 0.8586
V15 0.8586 0.8586 0.3386
```